Record 1
NdZr2Rh PBE relaxed; formation energy = -0.2698 eV per atom; space-group type = P4/mmm (123); spin magnetization = 0.00 μB/cell
1.0
3.377 0.000 0.000
0.000 3.377 0.000
0.000 0.000 7.939
Rh Nd Zr
1 1 2
Direct
0.500 0.500 0.000
0.500 0.500 0.500
0.000 0.000 0.803
0.000 0.000 0.197

***

Record 2
Mg2TlCdCl8 PBE relaxed; formation energy without anion corrections = -1.31 eV per atom; space-group type = P2/m (10); spin magnetization = 0.00 μB/cell
1.0
-4.614 -3.033 3.137
-2.099 -2.310 -5.271
4.710 -6.265 0.870
Mg Tl Cd Cl
2 1 1 8
Direct
0.500 0.500 0.759
0.500 0.500 0.241
0.000 0.000 0.500
0.000 0.000 0.000
0.184 0.758 0.233
0.664 0.715 0.000
0.816 0.242 0.233
0.816 0.242 0.767
0.336 0.285 0.000
0.184 0.758 0.767
0.655 0.698 0.500
0.345 0.302 0.500

***

Record 3
UNb2Tl2S6 PBE relaxed; formation energy without anion corrections = -0.95 eV per atom; space-group type = C2/m (12); spin magnetization = 0.00 μB/cell
1.0
-3.285 4.860 1.692
-1.103 -2.409 -5.500
-4.274 -5.531 4.293
U Nb Tl S
1 2 2 6
Direct
0.000 0.000 0.500
0.353 0.647 0.500
0.647 0.353 0.500
0.829 0.171 0.000
0.171 0.829 0.000
0.723 0.723 0.703
0.054 0.402 0.687
0.277 0.277 0.297
0.402 0.054 0.687
0.946 0.598 0.313
0.598 0.946 0.313